Density functional theory data (PBE) for SrPr2PdO5 after structural relaxation.

It has space group P4/mbm (No. 127), with a = 6.804 Å, b = 6.804 Å, c = 5.926 Å, α = 90.00°, β = 90.00° and γ = 90.00°. The asymmetric unit holds Sr at (0.000, 0.000, 0.000), Pr at (0.173, 0.327, 0.500), Pd at (0.000, 0.500, 0.000), O at (0.000, 0.000, 0.500) and O at (0.144, 0.644, 0.246).

As for the volume: 15.24 A^3/atom. As for the formation energy (no corrections): -2.534 eV/atom.